DFT (GGA-PBE) results for a geometry-optimized Fe3AuS5 structure.

The structure in POSCAR format:
```
Fe3AuS5
1.0
5.1224 0.0000 0.0000
-2.5612 4.4361 0.0000
0.0000 0.0000 6.4519
Fe Au S
3 1 5
direct
0.0000 0.5000 0.0000
0.5000 0.0000 0.0000
0.5000 0.5000 0.0000
0.0000 0.0000 0.5000
0.0000 0.0000 0.0000
0.3333 0.6667 0.2520
0.3333 0.6667 0.7480
0.6667 0.3333 0.2520
0.6667 0.3333 0.7480
```

Summary:
electronic total energy	-5.3721	eV per atom


DFT (GGA-PBE) results for a geometry-optimized AgWAu structure.

The structure in POSCAR format:
```
AgWAu
1.0
0.0000 3.0795 3.0795
3.0795 0.0000 3.0795
3.0795 3.0795 0.0000
Ag W Au
1 1 1
direct
0.0000 0.0000 0.0000
0.5000 0.5000 0.5000
0.2500 0.2500 0.2500
```

Summary:
electronic total energy	-5.3295	eV per atom
E_form	1021	meV per atom


DFT (GGA-PBE) results for a geometry-optimized BaCd2SnPb structure.

The structure in POSCAR format:
```
BaCd2SnPb
1.0
5.0005 0.0000 0.0000
0.0000 5.0005 0.0000
0.0000 0.0000 12.4510
Ba Cd Sn Pb
2 4 2 2
direct
0.2500 0.2500 0.2468
0.7500 0.7500 0.7532
0.2500 0.2500 0.8699
0.2500 0.7500 0.5000
0.7500 0.2500 0.5000
0.7500 0.7500 0.1301
0.2500 0.7500 0.0000
0.7500 0.2500 0.0000
0.2500 0.2500 0.6376
0.7500 0.7500 0.3624
```

Summary:
electronic total energy	-2.6357	eV per atom


DFT (GGA-PBE) results for a geometry-optimized AlTl2Ni structure.

The structure in POSCAR format:
```
AlTl2Ni
1.0
0.0000 3.5046 3.5046
3.5046 0.0000 3.5046
3.5046 3.5046 0.0000
Al Tl Ni
1 2 1
direct
0.0000 0.0000 0.0000
0.5000 0.5000 0.5000
0.7500 0.7500 0.7500
0.2500 0.2500 0.2500
```

Summary:
electronic total energy	-3.0408	eV per atom


DFT (GGA-PBE) results for a geometry-optimized AgHg2Au structure.

The structure in POSCAR format:
```
AgHg2Au
1.0
0.0000 3.4395 3.4395
3.4395 0.0000 3.4395
3.4395 3.4395 0.0000
Ag Hg Au
1 2 1
direct
0.0000 0.0000 0.0000
0.2500 0.2500 0.2500
0.5000 0.5000 0.5000
0.7500 0.7500 0.7500
```

Summary:
electronic total energy	-1.5644	eV per atom
E_form	107	meV per atom


DFT (GGA-PBE) results for a geometry-optimized Hf2Zn3Pt structure.

The structure in POSCAR format:
```
Hf2Zn3Pt
1.0
3.1666 0.0000 0.0000
0.0000 3.1666 0.0000
0.0000 0.0000 10.1440
Hf Zn Pt
2 3 1
direct
0.0000 0.0000 0.0000
0.5000 0.5000 0.4789
0.0000 0.0000 0.3066
0.0000 0.0000 0.6670
0.5000 0.5000 0.8102
0.5000 0.5000 0.1615
```

Summary:
electronic total energy	-5.3287	eV per atom
E_form	-369	meV per atom


DFT (GGA-PBE) results for a geometry-optimized HfNpAg structure.

The structure in POSCAR format:
```
HfNpAg
1.0
0.0000 3.2505 3.2505
3.2505 0.0000 3.2505
3.2505 3.2505 0.0000
Hf Np Ag
1 1 1
direct
0.0000 0.0000 0.0000
0.2500 0.2500 0.2500
0.7500 0.7500 0.7500
```

Summary:
electronic total energy	-7.4864	eV per atom
E_form	1030	meV per atom


DFT (GGA-PBE) results for a geometry-optimized Mg2SbAsAu2 structure.

The structure in POSCAR format:
```
Mg2SbAsAu2
1.0
11.0869 0.0000 0.0000
0.0000 4.5268 0.0000
-3.7150 0.0000 10.4469
Mg Sb As Au
8 4 4 8
direct
0.0000 0.0000 0.0000
0.1177 0.5000 0.3746
0.2390 0.0000 0.7420
0.3749 0.5000 0.1352
0.5002 0.0000 0.4995
0.6255 0.5000 0.8679
0.7467 0.0000 0.2581
0.8678 0.5000 0.6209
0.1193 0.5000 0.8738
0.3703 0.5000 0.6217
0.4980 0.0000 0.0014
0.8729 0.5000 0.1256
0.2491 0.0000 0.2512
0.6228 0.5000 0.3771
0.7453 0.0000 0.7460
0.9938 0.0000 0.4984
0.1272 0.5000 0.1298
0.2416 0.0000 0.4926
0.3710 0.5000 0.8746
0.4986 0.0000 0.2554
0.6236 0.5000 0.6218
0.7481 0.0000 0.9953
0.8700 0.5000 0.3773
0.9894 0.0000 0.7440
```

Summary:
electronic total energy	-3.4752	eV per atom


DFT (GGA-PBE) results for a geometry-optimized SmHfFe structure.

The structure in POSCAR format:
```
SmHfFe
1.0
0.0000 3.2496 3.2496
3.2496 0.0000 3.2496
3.2496 3.2496 0.0000
Sm Hf Fe
1 1 1
direct
0.0000 0.0000 0.0000
0.2500 0.2500 0.2500
0.7500 0.7500 0.7500
```

Summary:
electronic total energy	-6.3815	eV per atom
E_form	1277	meV per atom


DFT (GGA-PBE) results for a geometry-optimized RbPm2CuS4 structure.

The structure in POSCAR format:
```
RbPm2CuS4
1.0
2.0335 -7.0270 0.0000
2.0335 7.0270 0.0000
0.0000 0.0000 13.9919
Rb Pm Cu S
2 4 2 8
direct
0.1068 0.8932 0.7500
0.8932 0.1068 0.2500
0.3658 0.6342 0.5615
0.3658 0.6342 0.9385
0.6342 0.3658 0.0615
0.6342 0.3658 0.4385
0.1637 0.8363 0.2500
0.8363 0.1637 0.7500
0.0000 0.0000 0.0000
0.0000 0.0000 0.5000
0.2596 0.7404 0.1117
0.2596 0.7404 0.3883
0.4249 0.5751 0.7500
0.5751 0.4249 0.2500
0.7404 0.2596 0.6117
0.7404 0.2596 0.8883
```

Summary:
electronic total energy	-5.4762	eV per atom


DFT (GGA-PBE) results for a geometry-optimized RbTe8AuS2 structure.

The structure in POSCAR format:
```
RbTe8AuS2
1.0
6.7584 0.0000 0.0000
-2.0539 6.9695 0.0000
-2.2620 -2.5442 11.1283
Rb Te Au S
1 8 1 2
direct
0.0000 0.0000 0.0000
0.1616 0.7733 0.3180
0.4009 0.7790 0.1508
0.4154 0.2790 0.3814
0.4220 0.8195 0.8383
0.5780 0.1805 0.1617
0.5846 0.7210 0.6186
0.5991 0.2210 0.8492
0.8384 0.2267 0.6820
0.5000 0.0000 0.5000
0.2931 0.4175 0.5722
0.7069 0.5825 0.4278
```

Summary:
electronic total energy	-3.1974	eV per atom


DFT (GGA-PBE) results for a geometry-optimized HoSnPb structure.

The structure in POSCAR format:
```
HoSnPb
1.0
0.0000 3.6786 3.6786
3.6786 0.0000 3.6786
3.6786 3.6786 0.0000
Ho Sn Pb
1 1 1
direct
0.0000 0.0000 0.0000
0.2500 0.2500 0.2500
0.5000 0.5000 0.5000
```

Summary:
electronic total energy	-4.1777	eV per atom


DFT (GGA-PBE) results for a geometry-optimized Na4Os4O11 structure.

The structure in POSCAR format:
```
Na4Os4O11
1.0
5.3067 0.0000 0.0000
-0.0324 5.3699 0.0000
-0.0055 -0.0272 7.5643
Na Os O
4 4 11
direct
0.0000 0.0000 0.0000
0.0094 0.0641 0.4916
0.5063 0.5630 0.5095
0.5263 0.4969 0.0115
0.0107 0.5367 0.7557
0.0186 0.5421 0.2557
0.5038 0.0273 0.2560
0.5070 0.0356 0.7567
0.0949 0.5668 0.0064
0.2052 0.8358 0.7045
0.2907 0.3138 0.2893
0.3030 0.3296 0.7235
0.4291 0.0272 0.0073
0.5663 0.0248 0.5065
0.7082 0.7371 0.7929
0.7339 0.7573 0.2310
0.8030 0.2442 0.8046
0.8043 0.2461 0.2008
0.9475 0.5297 0.5052
```

Summary:
electronic total energy	-6.6182	eV per atom


DFT (GGA-PBE) results for a geometry-optimized YHo3Tm2Bi2Os structure.

The structure in POSCAR format:
```
YHo3Tm2Bi2Os
1.0
4.2294 0.0000 0.0000
0.0000 7.1513 4.1140
0.0000 -7.1513 4.1140
Y Ho Tm Bi Os
1 3 2 2 1
direct
0.0000 0.0000 0.0000
0.5000 0.1512 0.7640
0.5000 0.3808 0.3808
0.5000 0.7640 0.1512
0.0000 0.5324 0.7649
0.0000 0.7649 0.5324
0.0000 0.0984 0.4334
0.0000 0.4334 0.0984
0.5000 0.7603 0.7603
```

Summary:
electronic total energy	-5.9410	eV per atom


DFT (GGA-PBE) results for a geometry-optimized ZrTaGaCu structure.

The structure in POSCAR format:
```
ZrTaGaCu
1.0
0.0000 3.2733 3.2733
3.2733 0.0000 3.2733
3.2733 3.2733 0.0000
Zr Ta Ga Cu
1 1 1 1
direct
0.0000 0.0000 0.0000
0.2500 0.2500 0.2500
0.5000 0.5000 0.5000
0.7500 0.7500 0.7500
```

Summary:
electronic total energy	-6.4623	eV per atom


DFT (GGA-PBE) results for a geometry-optimized In2Si3Hg2 structure.

The structure in POSCAR format:
```
In2Si3Hg2
1.0
2.4381 1.4076 7.6572
-2.4381 1.4076 7.6572
0.0000 -2.8153 7.6572
In Si Hg
2 3 2
direct
0.0000 0.0000 0.0000
0.4886 0.4886 0.4886
0.3645 0.3645 0.3645
0.6191 0.6191 0.6191
0.8733 0.8733 0.8733
0.2327 0.2327 0.2327
0.7510 0.7510 0.7510
```

Summary:
electronic total energy	-2.7248	eV per atom


DFT (GGA-PBE) results for a geometry-optimized ErTc2O8 structure.

The structure in POSCAR format:
```
ErTc2O8
1.0
0.0000 4.6793 4.6793
4.6793 0.0000 4.6793
4.6793 4.6793 0.0000
Er Tc O
1 2 8
direct
0.0000 0.0000 0.0000
0.2500 0.2500 0.2500
0.7500 0.7500 0.7500
0.1421 0.1421 0.1421
0.1421 0.1421 0.5736
0.1421 0.5736 0.1421
0.4264 0.8579 0.8579
0.5736 0.1421 0.1421
0.8579 0.4264 0.8579
0.8579 0.8579 0.4264
0.8579 0.8579 0.8579
```

Summary:
electronic total energy	-7.7777	eV per atom


DFT (GGA-PBE) results for a geometry-optimized Li4Cd2O5 structure.

The structure in POSCAR format:
```
Li4Cd2O5
1.0
2.1898 -6.5017 0.0000
2.1898 6.5017 0.0000
0.0000 0.0000 4.3151
Li Cd O
4 2 5
direct
0.0000 0.0000 0.0000
0.1837 0.8163 0.5000
0.5000 0.5000 0.5000
0.8163 0.1837 0.5000
0.3354 0.6646 0.0000
0.6646 0.3354 0.0000
0.1567 0.8433 0.0000
0.3430 0.6570 0.5000
0.5000 0.5000 0.0000
0.6570 0.3430 0.5000
0.8433 0.1567 0.0000
```

Summary:
electronic total energy	-4.3506	eV per atom


DFT (GGA-PBE) results for a geometry-optimized HoThNb structure.

The structure in POSCAR format:
```
HoThNb
1.0
0.0000 3.5133 3.5133
3.5133 0.0000 3.5133
3.5133 3.5133 0.0000
Ho Th Nb
1 1 1
direct
0.0000 0.0000 0.0000
0.5000 0.5000 0.5000
0.2500 0.2500 0.2500
```

Summary:
electronic total energy	-6.7586	eV per atom
E_form	603	meV per atom


DFT (GGA-PBE) results for a geometry-optimized Li2YCu structure.

The structure in POSCAR format:
```
Li2YCu
1.0
0.0000 3.3149 3.3149
3.3149 0.0000 3.3149
3.3149 3.3149 0.0000
Li Y Cu
2 1 1
direct
0.0000 0.0000 0.0000
0.2500 0.2500 0.2500
0.7500 0.7500 0.7500
0.5000 0.5000 0.5000
```

Summary:
electronic total energy	-3.4507	eV per atom


DFT (GGA-PBE) results for a geometry-optimized MgCoAsPd structure.

The structure in POSCAR format:
```
MgCoAsPd
1.0
0.0000 3.0791 3.0791
3.0791 0.0000 3.0791
3.0791 3.0791 0.0000
Mg Co As Pd
1 1 1 1
direct
0.0000 0.0000 0.0000
0.7500 0.7500 0.7500
0.5000 0.5000 0.5000
0.2500 0.2500 0.2500
```

Summary:
electronic total energy	-4.7988	eV per atom


DFT (GGA-PBE) results for a geometry-optimized RbW2 structure.

The structure in POSCAR format:
```
RbW2
1.0
0.0000 4.0464 4.0464
4.0464 0.0000 4.0464
4.0464 4.0464 0.0000
Rb W
2 4
direct
0.1250 0.1250 0.1250
0.8750 0.8750 0.8750
0.0000 0.5000 0.5000
0.5000 0.0000 0.5000
0.5000 0.5000 0.0000
0.5000 0.5000 0.5000
```

Summary:
electronic total energy	-7.0485	eV per atom


DFT (GGA-PBE) results for a geometry-optimized InW structure.

The structure in POSCAR format:
```
InW
1.0
0.0000 3.1054 3.1054
3.1054 0.0000 3.1054
3.1054 3.1054 0.0000
In W
1 1
direct
0.0000 0.0000 0.0000
0.7500 0.7500 0.7500
```

Summary:
electronic total energy	-5.1451	eV per atom


DFT (GGA-PBE) results for a geometry-optimized MgNbZnNi structure.

The structure in POSCAR format:
```
MgNbZnNi
1.0
0.0000 3.1016 3.1016
3.1016 0.0000 3.1016
3.1016 3.1016 0.0000
Mg Nb Zn Ni
1 1 1 1
direct
0.0000 0.0000 0.0000
0.7500 0.7500 0.7500
0.2500 0.2500 0.2500
0.5000 0.5000 0.5000
```

Summary:
electronic total energy	-4.5468	eV per atom


DFT (GGA-PBE) results for a geometry-optimized Pd structure.

The structure in POSCAR format:
```
Pd
1.0
7.3793 0.0000 0.0000
0.0000 7.3793 0.0000
0.0000 0.0000 2.9642
Pd
10
direct
0.0000 0.0000 0.0000
0.1317 0.3683 0.0000
0.1672 0.6672 0.5000
0.3328 0.1672 0.5000
0.3683 0.8683 0.0000
0.5000 0.5000 0.0000
0.6317 0.1317 0.0000
0.6672 0.8328 0.5000
0.8328 0.3328 0.5000
0.8683 0.6317 0.0000
```

Summary:
electronic total energy	-4.9572	eV per atom
E_form	218	meV per atom